## a
LaMgTaFe: optimized geometry, PBE.

Cell lengths 4.748, 4.748, 4.748 Å; angles 60.00, 60.00, 60.00 degrees
Positions (direct):
Fe  0.500  0.500  0.500
Mg  0.750  0.750  0.750
La  0.250  0.250  0.250
Ta  0.000  0.000  0.000

***

## b
LaMgTaFe: optimized geometry, PBE.

Cell lengths 4.750, 4.750, 4.750 Å; angles 60.00, 60.00, 60.00 degrees
Positions (direct):
Ta  0.250  0.250  0.250
Fe  0.000  0.000  0.000
Mg  0.750  0.750  0.750
La  0.500  0.500  0.500

***

Most stable one: b, least stable one: a.

***

## a
LuCoCuGe: optimized geometry, PBE.

Cell lengths 4.512, 4.512, 4.512 Å; angles 60.00, 60.00, 60.00 degrees
Positions (direct):
Cu  0.750  0.750  0.750
Ge  0.000  0.000  0.000
Lu  0.250  0.250  0.250
Co  0.500  0.500  0.500

***

## b
LuCoCuGe: optimized geometry, PBE.

Cell lengths 4.434, 4.434, 4.434 Å; angles 60.00, 60.00, 60.00 degrees
Last column: magnetic moment on the atom in μB.
Positions (direct):
Cu  0.500  0.500  0.500  0.00
Lu  0.250  0.250  0.250  -0.01
Co  0.750  0.750  0.750  0.24
Ge  0.000  0.000  0.000  0.00

***

Most stable one: b, least stable one: a.

***

## a
MgAgSeO: optimized geometry, PBE.

Cell lengths 3.599, 5.670, 6.784 Å; angles 90.00, 74.62, 90.00 degrees
Positions (direct):
O  0.000  0.000  0.000
Se  0.751  0.750  0.499
Se  0.249  0.250  0.501
Ag  0.414  0.750  0.171
O  0.000  0.500  0.000
Mg  0.098  0.750  0.803
Ag  0.586  0.250  0.829
Mg  0.902  0.250  0.197

***

## b
MgAgSeO: optimized geometry, PBE.

Cell lengths 6.447, 3.568, 11.875 Å; angles 90.00, 90.00, 90.00 degrees
Positions (direct):
Ag  0.243  0.250  0.542
Se  0.235  0.250  0.883
Se  0.735  0.250  0.617
O  0.733  0.750  0.841
Mg  0.480  0.750  0.752
Mg  0.520  0.250  0.248
O  0.767  0.250  0.341
Mg  0.980  0.750  0.748
Ag  0.257  0.750  0.042
Se  0.765  0.750  0.117
O  0.233  0.750  0.659
O  0.267  0.250  0.159
Ag  0.743  0.250  0.958
Ag  0.757  0.750  0.458
Se  0.265  0.750  0.383
Mg  0.020  0.250  0.252

***

Most stable one: b, least stable one: a.